# 1
Below is a relaxed structure of Na2NdScTe4, with properties calculated at the PBE-GGA level.

Results
Volume in Å³ per atom: 31.72
SG: P2/m, No. 10
Raw formation energy in eV per atom: -1.241
Uncorrected energy in eV per atom: -4.529

Structure (POSCAR):
```
Na2NdScTe4
1.0
4.3981 0.0000 0.0000
0.0000 7.6313 0.1127
0.0000 -2.6542 7.5222
Te Nd Na Sc
4 1 2 1
Cartesian
2.1990 1.1224 1.7116 Te
0.0000 -0.2162 5.7885 Te
0.0000 5.1932 1.8464 Te
2.1990 3.8547 5.9233 Te
2.1990 3.8156 0.0563 Nd
2.1990 -1.3271 3.7611 Na
0.0000 2.4885 3.8175 Na
0.0000 0.0000 0.0000 Sc
```

***

# 2
Below is a relaxed structure of CsCrIBr2, with properties calculated at the PBE-GGA level.

Results
Volume in Å³ per atom: 30.13
SG: P4/mmm, No. 123
Raw formation energy in eV per atom: -0.953
Uncorrected energy in eV per atom: -4.028

Structure (POSCAR):
```
CsCrIBr2
1.0
-5.1934 -0.0302 -0.4028
-0.3863 -1.1471 5.0665
-0.1258 5.4159 1.2167
Br I Cs Cr
2 1 1 1
Cartesian
-0.1932 -0.5736 2.5333 Br
-2.5967 -0.0151 -0.2014 Br
-0.0629 2.7080 0.6083 I
-2.8528 2.1193 2.9402 Cs
0.0000 0.0000 0.0000 Cr
```

***

# 3
Below is a relaxed structure of Er5Tl4Ru, with properties calculated at the PBE-GGA level.

Results
Volume in Å³ per atom: 25.19
SG: P4/mmm, No. 123
ΔH_f (0 K) in kJ/mol of atoms: -34.46
Uncorrected energy in eV per atom: -4.513

Structure (POSCAR):
```
Er5Tl4Ru
1.0
3.4672 0.0000 0.0000
0.0000 3.4672 0.0000
0.0000 0.0000 20.9578
Tl Er Ru
4 5 1
Cartesian
0.0000 0.0000 12.6560 Tl
0.0000 0.0000 17.0105 Tl
0.0000 0.0000 3.9473 Tl
0.0000 0.0000 8.3019 Tl
1.7336 1.7336 14.8393 Er
1.7336 1.7336 10.4789 Er
1.7336 1.7336 6.1185 Er
1.7336 1.7336 1.6339 Er
1.7336 1.7336 19.3240 Er
0.0000 0.0000 0.0000 Ru
```